Entry 1:
NdMgSe after structural relaxation, computed with PBE-GGA.

Calculated values
Raw formation energy: -0.996 eV/atom
Symmetry: No. 166

abc: 8.4475 8.4475 8.4475
angles: 34.69 34.69 34.69
Fractional positions:
1 Nd 0.0870 0.0870 0.0870
2 Nd 0.9130 0.9130 0.9130
3 Mg 0.3294 0.3294 0.3294
4 Mg 0.6706 0.6706 0.6706
5 Se 0.2160 0.2160 0.2160
6 Se 0.7840 0.7840 0.7840

---

Entry 2:
ZrNb after structural relaxation, computed with PBE-GGA.

Calculated values
Symmetry: No. 129
Energy relative to the elements: 21 meV/atom

abc: 3.3898 3.3898 7.1879
angles: 90.00 90.00 90.00
Fractional positions:
1 Zr 0.2500 0.2500 0.1449
2 Zr 0.7500 0.7500 0.8551
3 Nb 0.2500 0.2500 0.6007
4 Nb 0.7500 0.7500 0.3993

---

Entry 3:
CsNa2LiBi after structural relaxation, computed with PBE-GGA.

Calculated values
Energy above the most stable polymorph in this dataset: 0 meV per atom
Symmetry: No. 123
Energy relative to the elements: -215 meV/atom

abc: 6.2771 6.2771 5.5971
angles: 90.00 90.00 90.00
Fractional positions:
1 Cs 0.0000 0.0000 0.0000
2 Na 0.0000 0.5000 0.5000
3 Na 0.5000 0.0000 0.5000
4 Li 0.5000 0.5000 0.0000
5 Bi 0.5000 0.5000 0.5000